The following is a PBE calculation of crystalline PrScGeO5 at its relaxed geometry, from OQMD via LeMat-Bulk.

Unit cell a=5.6274 b=5.8537 c=7.1618 alpha=105.90 beta=99.64 gamma=107.87
Last column: nearest neighbours and their distance in Å.
Fractional coordinates of all 16 atoms:
1 O 0.5909 0.2519 0.4428  1 Ge 1.81
2 O 0.6817 0.6241 0.9038  1 Ge 1.76
3 O 0.7103 0.1335 0.9206  1 Ge 1.75
4 O 0.0828 0.4062 0.7390  2 Sc 1.96-1.97
5 O 0.9172 0.5938 0.2610  2 Sc 1.96-1.97
6 O 0.2897 0.8665 0.0794  1 Ge 1.75
7 O 0.9328 0.8418 0.6419  1 Ge 1.77
8 O 0.4091 0.7481 0.5572  1 Ge 1.81
9 O 0.3183 0.3759 0.0962  1 Ge 1.76
10 O 0.0672 0.1582 0.3581  1 Ge 1.77
11 Sc 0.0000 0.5000 0.0000  6 O 1.97-2.21
12 Sc 0.0000 0.5000 0.5000  4 O 1.96-2.16
13 Pr 0.6536 0.8152 0.2845  4 O 2.25-2.50
14 Pr 0.3464 0.1848 0.7155  4 O 2.25-2.50
15 Ge 0.6854 0.8326 0.7671  4 O 1.75-1.81
16 Ge 0.3146 0.1674 0.2329  4 O 1.75-1.81

Properties
Magnetic moment: 0.00 μB per formula unit
Uncorrected energy: -7.882 eV per atom